! Rb5B2Se5 | the Alexandria database | GGA-PBE | relaxed; values from VASP
! Space group: C2/m, No. 12
! Magnetization, μB/f.u.: 0.00
! Energy, eV per atom: -3.41
! Fermi-level density of states, states/eV/cell: 2.53
! Crystal system: monoclinic
&SYSTEM
  ibrav = 0, nat = 12, ntyp = 3
/
ATOMIC_SPECIES
B 10.81 B.upf
Se 78.96 Se.upf
Rb 85.47 Rb.upf
CELL_PARAMETERS angstrom
-3.826 1.986 0.305
-0.017 -5.575 5.484
4.670 8.037 6.249
ATOMIC_POSITIONS crystal
B 0.015 0.031 0.802
Se 0.898 0.796 0.686
Se 0.102 0.204 0.314
Rb 0.791 0.583 0.361
Se 0.411 0.823 0.212
Rb 0.209 0.417 0.639
Se 0.589 0.177 0.788
Rb 0.500 0.000 0.500
B 0.985 0.969 0.198
Se 0.000 0.000 0.000
Rb 0.348 0.697 0.914
Rb 0.652 0.303 0.086